<i>
# K2RbCd2 (GGA-PBEsol, optimized geometry)
data_K2RbCd2
_chemical_formula_sum 'K4 Rb2 Cd4'
_cell_length_a 4.993
_cell_length_b 9.409
_cell_length_c 9.409
_cell_angle_alpha 90.00
_cell_angle_beta 90.00
_cell_angle_gamma 90.00
_space_group_name_H-M_alt 'P 1'
_space_group_IT_number 1
loop_
_space_group_symop_operation_xyz
'x,y,z'
loop_
_atom_site_label
_atom_site_type_symbol
_atom_site_fract_x
_atom_site_fract_y
_atom_site_fract_z
K1 K 0.500 0.173 0.673
K2 K 0.500 0.673 0.827
K3 K 0.500 0.827 0.327
K4 K 0.500 0.327 0.173
Rb1 Rb 0.000 0.000 0.000
Rb2 Rb 0.000 0.500 0.500
Cd1 Cd 0.000 0.392 0.892
Cd2 Cd 0.000 0.892 0.608
Cd3 Cd 0.000 0.608 0.108
Cd4 Cd 0.000 0.108 0.392
# V in Å³/atom: 44.21
# Crystal system: tetragonal


<ii>
# K2RbCd2 (GGA-PBEsol, optimized geometry)
data_K2RbCd2
_chemical_formula_sum 'K2 Rb1 Cd2'
_cell_length_a 5.498
_cell_length_b 5.498
_cell_length_c 8.488
_cell_angle_alpha 108.90
_cell_angle_beta 108.90
_cell_angle_gamma 90.00
_space_group_name_H-M_alt 'P 1'
_space_group_IT_number 1
loop_
_space_group_symop_operation_xyz
'x,y,z'
loop_
_atom_site_label
_atom_site_type_symbol
_atom_site_fract_x
_atom_site_fract_y
_atom_site_fract_z
K1 K 0.250 0.750 0.500
K2 K 0.750 0.250 0.500
Rb1 Rb 0.000 0.000 0.000
Cd1 Cd 0.407 0.407 0.815
Cd2 Cd 0.593 0.593 0.185
# V in Å³/atom: 45.61
# Crystal system: tetragonal


Relative energy table, unit eV/atom: <i> 0.000; <ii> 0.037


<i>
# KCd3Rh (GGA-PBEsol, optimized geometry)
data_KCd3Rh
_chemical_formula_sum 'K1 Cd3 Rh1'
_cell_length_a 5.160
_cell_length_b 5.160
_cell_length_c 5.160
_cell_angle_alpha 90.00
_cell_angle_beta 90.00
_cell_angle_gamma 90.00
_space_group_name_H-M_alt 'P 1'
_space_group_IT_number 1
loop_
_space_group_symop_operation_xyz
'x,y,z'
loop_
_atom_site_label
_atom_site_type_symbol
_atom_site_fract_x
_atom_site_fract_y
_atom_site_fract_z
K1 K 0.500 0.500 0.500
Rh1 Rh 0.000 0.000 0.000
Cd1 Cd 0.000 0.500 0.000
Cd2 Cd 0.000 0.000 0.500
Cd3 Cd 0.500 0.000 0.000
# V in Å³/atom: 27.47
# Crystal system: cubic


<ii>
# KCd3Rh (GGA-PBEsol, optimized geometry)
data_KCd3Rh
_chemical_formula_sum 'K2 Cd6 Rh2'
_cell_length_a 7.070
_cell_length_b 7.244
_cell_length_c 7.244
_cell_angle_alpha 61.84
_cell_angle_beta 60.79
_cell_angle_gamma 60.79
_space_group_name_H-M_alt 'P 1'
_space_group_IT_number 1
loop_
_space_group_symop_operation_xyz
'x,y,z'
loop_
_atom_site_label
_atom_site_type_symbol
_atom_site_fract_x
_atom_site_fract_y
_atom_site_fract_z
K1 K 0.750 0.338 0.162
K2 K 0.250 0.662 0.838
Rh1 Rh 0.000 0.500 0.500
Rh2 Rh 0.500 0.000 0.000
Cd1 Cd 0.788 0.212 0.712
Cd2 Cd 0.288 0.212 0.712
Cd3 Cd 0.712 0.788 0.288
Cd4 Cd 0.212 0.788 0.288
Cd5 Cd 0.750 0.816 0.684
Cd6 Cd 0.250 0.184 0.316
# V in Å³/atom: 26.90
# Crystal system: orthorhombic


Relative energy table, unit eV/atom: <i> 0.016; <ii> 0.000


<i>
# KCdSe (GGA-PBEsol, optimized geometry)
data_KCdSe
_chemical_formula_sum 'K1 Cd1 Se1'
_cell_length_a 4.447
_cell_length_b 4.447
_cell_length_c 5.571
_cell_angle_alpha 90.00
_cell_angle_beta 90.00
_cell_angle_gamma 120.00
_space_group_name_H-M_alt 'P 1'
_space_group_IT_number 1
loop_
_space_group_symop_operation_xyz
'x,y,z'
loop_
_atom_site_label
_atom_site_type_symbol
_atom_site_fract_x
_atom_site_fract_y
_atom_site_fract_z
Cd1 Cd 0.000 0.000 0.096
K1 K 0.333 0.667 0.641
Se1 Se 0.667 0.333 0.263
# V in Å³/atom: 31.80
# Crystal system: trigonal


<ii>
# KCdSe (GGA-PBEsol, optimized geometry)
data_KCdSe
_chemical_formula_sum 'K1 Cd1 Se1'
_cell_length_a 3.888
_cell_length_b 3.888
_cell_length_c 6.294
_cell_angle_alpha 107.99
_cell_angle_beta 107.99
_cell_angle_gamma 90.00
_space_group_name_H-M_alt 'P 1'
_space_group_IT_number 1
loop_
_space_group_symop_operation_xyz
'x,y,z'
loop_
_atom_site_label
_atom_site_type_symbol
_atom_site_fract_x
_atom_site_fract_y
_atom_site_fract_z
Cd1 Cd 0.954 0.954 0.908
K1 K 0.670 0.670 0.340
Se1 Se 0.376 0.376 0.752
# V in Å³/atom: 28.52
# Crystal system: tetragonal


<iii>
# KCdSe (GGA-PBEsol, optimized geometry)
data_KCdSe
_chemical_formula_sum 'K1 Cd1 Se1'
_cell_length_a 5.091
_cell_length_b 5.091
_cell_length_c 5.091
_cell_angle_alpha 60.00
_cell_angle_beta 60.00
_cell_angle_gamma 60.00
_space_group_name_H-M_alt 'P 1'
_space_group_IT_number 1
loop_
_space_group_symop_operation_xyz
'x,y,z'
loop_
_atom_site_label
_atom_site_type_symbol
_atom_site_fract_x
_atom_site_fract_y
_atom_site_fract_z
Cd1 Cd 0.500 0.500 0.500
K1 K 0.250 0.250 0.250
Se1 Se 0.000 0.000 0.000
# V in Å³/atom: 31.11
# Crystal system: cubic


Relative energy table, unit eV/atom: <i> 0.000; <ii> 0.066; <iii> 0.395


<i>
# KSrCd2 (GGA-PBEsol, optimized geometry)
data_KSrCd2
_chemical_formula_sum 'K1 Sr1 Cd2'
_cell_length_a 5.700
_cell_length_b 5.700
_cell_length_c 5.700
_cell_angle_alpha 60.00
_cell_angle_beta 60.00
_cell_angle_gamma 60.00
_space_group_name_H-M_alt 'P 1'
_space_group_IT_number 1
loop_
_space_group_symop_operation_xyz
'x,y,z'
loop_
_atom_site_label
_atom_site_type_symbol
_atom_site_fract_x
_atom_site_fract_y
_atom_site_fract_z
Sr1 Sr 0.500 0.500 0.500
K1 K 0.000 0.000 0.000
Cd1 Cd 0.250 0.250 0.250
Cd2 Cd 0.750 0.750 0.750
# V in Å³/atom: 32.73
# Crystal system: cubic


<ii>
# KSrCd2 (GGA-PBEsol, optimized geometry)
data_KSrCd2
_chemical_formula_sum 'K1 Sr1 Cd2'
_cell_length_a 3.914
_cell_length_b 5.791
_cell_length_c 5.791
_cell_angle_alpha 90.16
_cell_angle_beta 90.00
_cell_angle_gamma 90.00
_space_group_name_H-M_alt 'P 1'
_space_group_IT_number 1
loop_
_space_group_symop_operation_xyz
'x,y,z'
loop_
_atom_site_label
_atom_site_type_symbol
_atom_site_fract_x
_atom_site_fract_y
_atom_site_fract_z
Cd1 Cd 0.000 0.500 0.000
Cd2 Cd 0.000 0.000 0.500
K1 K 0.500 0.000 0.000
Sr1 Sr 0.500 0.500 0.500
# V in Å³/atom: 32.82
# Crystal system: orthorhombic


Relative energy table, unit eV/atom: <i> 0.022; <ii> 0.000


<i>
# KCd2W (GGA-PBEsol, optimized geometry)
data_KCd2W
_chemical_formula_sum 'K1 Cd2 W1'
_cell_length_a 2.821
_cell_length_b 4.216
_cell_length_c 7.769
_cell_angle_alpha 90.00
_cell_angle_beta 90.00
_cell_angle_gamma 90.00
_space_group_name_H-M_alt 'P 1'
_space_group_IT_number 1
loop_
_space_group_symop_operation_xyz
'x,y,z'
loop_
_atom_site_label
_atom_site_type_symbol
_atom_site_fract_x
_atom_site_fract_y
_atom_site_fract_z
Cd1 Cd 0.000 0.000 0.685
Cd2 Cd 0.000 0.000 0.315
K1 K 0.500 0.500 0.000
W1 W 0.500 0.500 0.500
# V in Å³/atom: 23.10
# Crystal system: orthorhombic


<ii>
# KCd2W (GGA-PBEsol, optimized geometry)
data_KCd2W
_chemical_formula_sum 'K1 Cd2 W1'
_cell_length_a 2.825
_cell_length_b 2.825
_cell_length_c 10.651
_cell_angle_alpha 90.00
_cell_angle_beta 90.00
_cell_angle_gamma 90.00
_space_group_name_H-M_alt 'P 1'
_space_group_IT_number 1
loop_
_space_group_symop_operation_xyz
'x,y,z'
loop_
_atom_site_label
_atom_site_type_symbol
_atom_site_fract_x
_atom_site_fract_y
_atom_site_fract_z
Cd1 Cd 0.000 0.000 0.987
Cd2 Cd 0.500 0.500 0.224
K1 K 0.000 0.000 0.506
W1 W 0.500 0.500 0.782
# V in Å³/atom: 21.25
# Crystal system: tetragonal


Relative energy table, unit eV/atom: <i> 0.000; <ii> 0.042


<i>
# KCd2W (GGA-PBEsol, optimized geometry)
data_KCd2W
_chemical_formula_sum 'K1 Cd2 W1'
_cell_length_a 2.808
_cell_length_b 5.406
_cell_length_c 5.406
_cell_angle_alpha 90.05
_cell_angle_beta 90.00
_cell_angle_gamma 90.00
_space_group_name_H-M_alt 'P 1'
_space_group_IT_number 1
loop_
_space_group_symop_operation_xyz
'x,y,z'
loop_
_atom_site_label
_atom_site_type_symbol
_atom_site_fract_x
_atom_site_fract_y
_atom_site_fract_z
Cd1 Cd 0.000 0.500 0.000
Cd2 Cd 0.000 0.000 0.500
K1 K 0.500 0.000 0.000
W1 W 0.500 0.500 0.500
# V in Å³/atom: 20.52
# Crystal system: tetragonal


<ii>
# KCd2W (GGA-PBEsol, optimized geometry)
data_KCd2W
_chemical_formula_sum 'K1 Cd2 W1'
_cell_length_a 4.999
_cell_length_b 4.999
_cell_length_c 4.999
_cell_angle_alpha 60.00
_cell_angle_beta 60.00
_cell_angle_gamma 60.00
_space_group_name_H-M_alt 'P 1'
_space_group_IT_number 1
loop_
_space_group_symop_operation_xyz
'x,y,z'
loop_
_atom_site_label
_atom_site_type_symbol
_atom_site_fract_x
_atom_site_fract_y
_atom_site_fract_z
Cd1 Cd 0.000 0.000 0.000
Cd2 Cd 0.750 0.750 0.750
K1 K 0.500 0.500 0.500
W1 W 0.250 0.250 0.250
# V in Å³/atom: 22.09
# Crystal system: cubic


<iii>
# KCd2W (GGA-PBEsol, optimized geometry)
data_KCd2W
_chemical_formula_sum 'K1 Cd2 W1'
_cell_length_a 2.848
_cell_length_b 2.848
_cell_length_c 10.382
_cell_angle_alpha 90.00
_cell_angle_beta 90.00
_cell_angle_gamma 90.00
_space_group_name_H-M_alt 'P 1'
_space_group_IT_number 1
loop_
_space_group_symop_operation_xyz
'x,y,z'
loop_
_atom_site_label
_atom_site_type_symbol
_atom_site_fract_x
_atom_site_fract_y
_atom_site_fract_z
Cd1 Cd 0.000 0.000 0.713
Cd2 Cd 0.000 0.000 0.287
K1 K 0.500 0.500 0.000
W1 W 0.500 0.500 0.500
# V in Å³/atom: 21.05
# Crystal system: tetragonal


<iv>
# KCd2W (GGA-PBEsol, optimized geometry)
data_KCd2W
_chemical_formula_sum 'K1 Cd2 W1'
_cell_length_a 2.917
_cell_length_b 2.917
_cell_length_c 11.294
_cell_angle_alpha 82.58
_cell_angle_beta 82.58
_cell_angle_gamma 60.00
_space_group_name_H-M_alt 'P 1'
_space_group_IT_number 1
loop_
_space_group_symop_operation_xyz
'x,y,z'
loop_
_atom_site_label
_atom_site_type_symbol
_atom_site_fract_x
_atom_site_fract_y
_atom_site_fract_z
Cd1 Cd 0.997 0.997 0.008
Cd2 Cd 0.743 0.743 0.771
K1 K 0.502 0.502 0.495
W1 W 0.258 0.258 0.226
# V in Å³/atom: 20.57
# Crystal system: trigonal


Relative energy table, unit eV/atom: <i> 0.154; <ii> 0.733; <iii> 0.000; <iv> 0.120


<i>
# KZrCd2 (GGA-PBEsol, optimized geometry)
data_KZrCd2
_chemical_formula_sum 'K1 Zr1 Cd2'
_cell_length_a 3.140
_cell_length_b 3.140
_cell_length_c 10.341
_cell_angle_alpha 90.00
_cell_angle_beta 90.00
_cell_angle_gamma 90.00
_space_group_name_H-M_alt 'P 1'
_space_group_IT_number 1
loop_
_space_group_symop_operation_xyz
'x,y,z'
loop_
_atom_site_label
_atom_site_type_symbol
_atom_site_fract_x
_atom_site_fract_y
_atom_site_fract_z
Cd1 Cd 0.000 0.000 0.005
Cd2 Cd 0.500 0.500 0.209
K1 K 0.000 0.000 0.479
Zr1 Zr 0.500 0.500 0.807
# V in Å³/atom: 25.50
# Crystal system: tetragonal


<ii>
# KZrCd2 (GGA-PBEsol, optimized geometry)
data_KZrCd2
_chemical_formula_sum 'K1 Zr1 Cd2'
_cell_length_a 5.197
_cell_length_b 5.197
_cell_length_c 5.197
_cell_angle_alpha 60.00
_cell_angle_beta 60.00
_cell_angle_gamma 60.00
_space_group_name_H-M_alt 'P 1'
_space_group_IT_number 1
loop_
_space_group_symop_operation_xyz
'x,y,z'
loop_
_atom_site_label
_atom_site_type_symbol
_atom_site_fract_x
_atom_site_fract_y
_atom_site_fract_z
Cd1 Cd 0.250 0.250 0.250
Cd2 Cd 0.750 0.750 0.750
K1 K 0.000 0.000 0.000
Zr1 Zr 0.500 0.500 0.500
# V in Å³/atom: 24.82
# Crystal system: cubic


<iii>
# KZrCd2 (GGA-PBEsol, optimized geometry)
data_KZrCd2
_chemical_formula_sum 'K1 Zr1 Cd2'
_cell_length_a 5.086
_cell_length_b 5.086
_cell_length_c 5.086
_cell_angle_alpha 60.00
_cell_angle_beta 60.00
_cell_angle_gamma 60.00
_space_group_name_H-M_alt 'P 1'
_space_group_IT_number 1
loop_
_space_group_symop_operation_xyz
'x,y,z'
loop_
_atom_site_label
_atom_site_type_symbol
_atom_site_fract_x
_atom_site_fract_y
_atom_site_fract_z
Cd1 Cd 0.000 0.000 0.000
Cd2 Cd 0.750 0.750 0.750
K1 K 0.500 0.500 0.500
Zr1 Zr 0.250 0.250 0.250
# V in Å³/atom: 23.26
# Crystal system: cubic


Relative energy table, unit eV/atom: <i> 0.000; <ii> 0.154; <iii> 0.315


<i>
# La5Cd (GGA-PBEsol, optimized geometry)
data_La5Cd
_chemical_formula_sum 'La5 Cd1'
_cell_length_a 3.694
_cell_length_b 3.694
_cell_length_c 14.141
_cell_angle_alpha 90.00
_cell_angle_beta 90.00
_cell_angle_gamma 90.00
_space_group_name_H-M_alt 'P 1'
_space_group_IT_number 1
loop_
_space_group_symop_operation_xyz
'x,y,z'
loop_
_atom_site_label
_atom_site_type_symbol
_atom_site_fract_x
_atom_site_fract_y
_atom_site_fract_z
La1 La 0.000 0.000 0.646
La2 La 0.500 0.500 0.822
La3 La 0.000 0.000 0.000
La4 La 0.500 0.500 0.178
La5 La 0.000 0.000 0.354
Cd1 Cd 0.500 0.500 0.500
# V in Å³/atom: 32.16
# Crystal system: tetragonal


<ii>
# La5Cd (GGA-PBEsol, optimized geometry)
data_La5Cd
_chemical_formula_sum 'La5 Cd1'
_cell_length_a 3.750
_cell_length_b 6.454
_cell_length_c 8.948
_cell_angle_alpha 110.26
_cell_angle_beta 90.00
_cell_angle_gamma 106.89
_space_group_name_H-M_alt 'P 1'
_space_group_IT_number 1
loop_
_space_group_symop_operation_xyz
'x,y,z'
loop_
_atom_site_label
_atom_site_type_symbol
_atom_site_fract_x
_atom_site_fract_y
_atom_site_fract_z
La1 La 0.386 0.772 0.227
La2 La 0.685 0.370 0.351
La3 La 0.046 0.092 0.579
La4 La 0.353 0.706 0.720
La5 La 0.688 0.375 0.924
Cd1 Cd 0.009 0.018 0.031
# V in Å³/atom: 32.20
# Crystal system: monoclinic


Relative energy table, unit eV/atom: <i> 0.000; <ii> 0.012